Entry from the Alexandria database: TbZr3Te6 after structural relaxation (PBE).

Results
For the formation energy (no corrections), the calculation gives -0.934 eV per atom. The symmetry is P2_1/m, No. 11. For the density of states at the Fermi level, the calculation gives 0.75 states/eV/atom.

abc: 11.936 4.040 12.499
angles: 90.00 109.20 90.00
Sites, in units of the cell vectors:
Tb1 0.052 0.250 0.200
Tb2 0.948 0.750 0.800
Zr1 0.120 0.250 0.568
Zr2 0.319 0.750 0.987
Zr3 0.443 0.250 0.367
Zr4 0.557 0.750 0.633
Zr5 0.681 0.250 0.013
Zr6 0.880 0.750 0.432
Te1 0.108 0.750 0.400
Te2 0.122 0.250 0.971
Te3 0.190 0.750 0.746
Te4 0.276 0.750 0.218
Te5 0.375 0.250 0.572
Te6 0.486 0.250 0.124
Te7 0.514 0.750 0.876
Te8 0.625 0.750 0.428
Te9 0.724 0.250 0.782
Te10 0.810 0.250 0.254
Te11 0.878 0.750 0.029
Te12 0.892 0.250 0.600

---

Entry from the Alexandria database: PtBr2 after structural relaxation (PBE).

Results
For the formation energy (no corrections), the calculation gives -0.176 eV per atom. The symmetry is Pnma, No. 62.

abc: 8.958 3.632 12.718
angles: 90.00 90.00 90.00
Sites, in units of the cell vectors:
Pt1 0.180 0.250 0.113
Pt2 0.320 0.750 0.613
Pt3 0.680 0.250 0.387
Pt4 0.820 0.750 0.887
Br1 0.063 0.750 0.214
Br2 0.205 0.250 0.511
Br3 0.295 0.750 0.011
Br4 0.437 0.250 0.714
Br5 0.563 0.750 0.286
Br6 0.705 0.250 0.989
Br7 0.795 0.750 0.489
Br8 0.937 0.250 0.786

---

Entry from the Alexandria database: ScRe3Te after structural relaxation (PBE).

Results
For the formation energy (no corrections), the calculation gives 1.923 eV per atom. The symmetry is Pm-3m, No. 221. For the density of states at the Fermi level, the calculation gives 1.21 states/eV/atom.

abc: 4.809 4.809 4.809
angles: 90.00 90.00 90.00
Sites, in units of the cell vectors:
Sc1 0.000 0.000 0.000
Re1 0.000 0.500 0.500
Re2 0.500 0.000 0.500
Re3 0.500 0.500 0.000
Te1 0.500 0.500 0.500

---

Entry from the Alexandria database: RbInFe2I6 after structural relaxation (PBE).

Results
For the formation energy (no corrections), the calculation gives -0.436 eV per atom. The symmetry is C2/c, No. 15. For the density of states at the Fermi level, the calculation gives 1.13 states/eV/atom.

abc: 10.612 10.612 8.265
angles: 101.66 101.66 84.43
Sites, in units of the cell vectors:
Rb1 0.180 0.820 0.750
Rb2 0.820 0.180 0.250
In1 0.397 0.603 0.250
In2 0.603 0.397 0.750
Fe1 0.125 0.294 0.753
Fe2 0.294 0.125 0.253
Fe3 0.706 0.875 0.747
Fe4 0.875 0.706 0.247
I1 0.100 0.598 0.344
I2 0.104 0.177 0.005
I3 0.177 0.104 0.505
I4 0.294 0.468 0.834
I5 0.402 0.900 0.156
I6 0.468 0.294 0.334
I7 0.532 0.706 0.666
I8 0.598 0.100 0.844
I9 0.706 0.532 0.166
I10 0.823 0.896 0.495
I11 0.896 0.823 0.995
I12 0.900 0.402 0.656

---

Entry from the Alexandria database: Zr3BeZn2 after structural relaxation (PBE).

Results
Its formation energy is -0.208 eV/atom. The symmetry is P4/mmm, No. 123. For the density of states at the Fermi level, the calculation gives 0.27 states/eV/atom.

abc: 3.271 3.271 9.964
angles: 90.00 90.00 90.00
Sites, in units of the cell vectors:
Zr1 0.000 0.000 0.000
Zr2 0.000 0.000 0.344
Zr3 0.000 0.000 0.656
Be1 0.500 0.500 0.500
Zn1 0.500 0.500 0.173
Zn2 0.500 0.500 0.827

---

Entry from the Alexandria database: Pm12Mn3H5 after structural relaxation (PBE).

Results
The symmetry is Ia-3d, No. 230. For the density of states at the Fermi level, the calculation gives 1.26 states/eV/atom.

abc: 13.522 13.522 13.522
angles: 109.47 109.47 109.47
Sites, in units of the cell vectors:
Pm1 0.024 0.213 0.119
Pm2 0.024 0.311 0.905
Pm3 0.094 0.713 0.689
Pm4 0.094 0.881 0.405
Pm5 0.095 0.619 0.406
Pm6 0.095 0.976 0.689
Pm7 0.119 0.024 0.213
Pm8 0.119 0.595 0.906
Pm9 0.189 0.213 0.594
Pm10 0.189 0.476 0.595
Pm11 0.213 0.119 0.024
Pm12 0.213 0.594 0.189
Pm13 0.287 0.311 0.906
Pm14 0.287 0.476 0.381
Pm15 0.311 0.905 0.024
Pm16 0.311 0.906 0.287
Pm17 0.381 0.287 0.476
Pm18 0.381 0.594 0.905
Pm19 0.405 0.094 0.881
Pm20 0.405 0.811 0.524
Pm21 0.406 0.095 0.619
Pm22 0.406 0.811 0.787
Pm23 0.476 0.381 0.287
Pm24 0.476 0.595 0.189
Pm25 0.524 0.405 0.811
Pm26 0.524 0.619 0.713
Pm27 0.594 0.189 0.213
Pm28 0.594 0.905 0.381
Pm29 0.595 0.189 0.476
Pm30 0.595 0.906 0.119
Pm31 0.619 0.406 0.095
Pm32 0.619 0.713 0.524
Pm33 0.689 0.094 0.713
Pm34 0.689 0.095 0.976
Pm35 0.713 0.524 0.619
Pm36 0.713 0.689 0.094
Pm37 0.787 0.406 0.811
Pm38 0.787 0.881 0.976
Pm39 0.811 0.524 0.405
Pm40 0.811 0.787 0.406
Pm41 0.881 0.405 0.094
Pm42 0.881 0.976 0.787
Pm43 0.905 0.024 0.311
Pm44 0.905 0.381 0.594
Pm45 0.906 0.119 0.595
Pm46 0.906 0.287 0.311
Pm47 0.976 0.689 0.095
Pm48 0.976 0.787 0.881
Mn1 0.125 0.250 0.375
Mn2 0.125 0.375 0.750
Mn3 0.250 0.375 0.125
Mn4 0.250 0.875 0.625
Mn5 0.375 0.125 0.250
Mn6 0.375 0.750 0.125
Mn7 0.625 0.250 0.875
Mn8 0.625 0.875 0.750
Mn9 0.750 0.125 0.375
Mn10 0.750 0.625 0.875
Mn11 0.875 0.625 0.250
Mn12 0.875 0.750 0.625
H1 0.000 0.000 0.000
H2 0.000 0.000 0.500
H3 0.000 0.500 0.000
H4 0.000 0.500 0.500
H5 0.125 0.750 0.875
H6 0.125 0.875 0.250
H7 0.250 0.125 0.875
H8 0.250 0.625 0.375
H9 0.375 0.250 0.625
H10 0.375 0.625 0.750
H11 0.500 0.000 0.000
H12 0.500 0.000 0.500
H13 0.500 0.500 0.000
H14 0.500 0.500 0.500
H15 0.625 0.375 0.250
H16 0.625 0.750 0.375
H17 0.750 0.375 0.625
H18 0.750 0.875 0.125
H19 0.875 0.125 0.750
H20 0.875 0.250 0.125

---

Entry from the Alexandria database: LiCd2In after structural relaxation (PBE).

Results
Its formation energy is -0.159 eV/atom. The symmetry is Amm2, No. 38. For the density of states at the Fermi level, the calculation gives 0.40 states/eV/atom.

abc: 5.142 6.193 6.193
angles: 60.42 90.00 90.00
Sites, in units of the cell vectors:
Li1 0.000 0.000 0.000
Li2 0.500 0.336 0.336
Cd1 0.000 0.006 0.501
Cd2 0.000 0.496 0.496
Cd3 0.000 0.501 0.006
Cd4 0.500 0.838 0.838
In1 0.500 0.333 0.838
In2 0.500 0.838 0.333

---

Entry from the Alexandria database: Tm3BiIr after structural relaxation (PBE).

Results
Its formation energy is -0.733 eV/atom. The symmetry is P2_1/m, No. 11. The calculation puts the energy above the most stable polymorph in this dataset at 31 meV per atom. For the density of states at the Fermi level, the calculation gives 0.71 states/eV/atom.

abc: 7.945 4.377 8.401
angles: 90.00 111.67 90.00
Sites, in units of the cell vectors:
Tm1 0.044 0.250 0.252
Tm2 0.313 0.750 0.596
Tm3 0.327 0.250 0.928
Tm4 0.673 0.750 0.072
Tm5 0.687 0.250 0.404
Tm6 0.956 0.750 0.748
Bi1 0.335 0.750 0.210
Bi2 0.665 0.250 0.790
Ir1 0.083 0.250 0.608
Ir2 0.917 0.750 0.392

---

Entry from the Alexandria database: TiNb5H4 after structural relaxation (PBE).

Results
The symmetry is C2/m, No. 12. For the density of states at the Fermi level, the calculation gives 0.41 states/eV/atom.

abc: 7.742 7.742 5.601
angles: 100.22 100.22 20.85
Sites, in units of the cell vectors:
Ti1 0.000 0.000 0.000
Nb1 0.000 0.000 0.500
Nb2 0.332 0.332 0.660
Nb3 0.333 0.333 0.171
Nb4 0.667 0.667 0.829
Nb5 0.668 0.668 0.340
H1 0.133 0.133 0.069
H2 0.472 0.472 0.231
H3 0.528 0.528 0.769
H4 0.867 0.867 0.931

---

Entry from the Alexandria database: SrPr2O4 after structural relaxation (PBE).

Results
For the formation energy (no corrections), the calculation gives -3.103 eV per atom. The symmetry is Pnma, No. 62. For the density of states at the Fermi level, the calculation gives 0.00 states/eV/atom.

abc: 10.363 3.625 12.450
angles: 90.00 90.00 90.00
Sites, in units of the cell vectors:
Sr1 0.249 0.250 0.146
Sr2 0.251 0.750 0.646
Sr3 0.749 0.250 0.354
Sr4 0.751 0.750 0.854
Pr1 0.068 0.750 0.383
Pr2 0.092 0.750 0.891
Pr3 0.408 0.250 0.391
Pr4 0.432 0.250 0.883
Pr5 0.568 0.750 0.117
Pr6 0.592 0.750 0.609
Pr7 0.908 0.250 0.109
Pr8 0.932 0.250 0.617
O1 0.007 0.750 0.713
O2 0.068 0.750 0.083
O3 0.140 0.250 0.514
O4 0.221 0.250 0.812
O5 0.279 0.750 0.312
O6 0.360 0.750 0.014
O7 0.432 0.250 0.583
O8 0.493 0.250 0.213
O9 0.507 0.750 0.787
O10 0.568 0.750 0.417
O11 0.640 0.250 0.986
O12 0.721 0.250 0.688
O13 0.779 0.750 0.188
O14 0.860 0.750 0.486
O15 0.932 0.250 0.917
O16 0.993 0.250 0.287

---

Entry from the Alexandria database: SrAl2BO6 after structural relaxation (PBE).

Results
For the formation energy (no corrections), the calculation gives -2.639 eV per atom. The symmetry is C2/c, No. 15. For the density of states at the Fermi level, the calculation gives 0.47 states/eV/atom.

abc: 7.019 7.019 6.099
angles: 112.52 112.52 82.71
Sites, in units of the cell vectors:
Sr1 0.165 0.835 0.750
Sr2 0.835 0.165 0.250
Al1 0.224 0.373 0.875
Al2 0.373 0.224 0.375
Al3 0.627 0.776 0.625
Al4 0.776 0.627 0.125
B1 0.194 0.806 0.250
B2 0.806 0.194 0.750
O1 0.004 0.204 0.716
O2 0.190 0.637 0.018
O3 0.204 0.004 0.216
O4 0.265 0.377 0.604
O5 0.363 0.810 0.482
O6 0.377 0.265 0.104
O7 0.623 0.735 0.896
O8 0.637 0.190 0.518
O9 0.735 0.623 0.396
O10 0.796 0.996 0.784
O11 0.810 0.363 0.982
O12 0.996 0.796 0.284

---

Entry from the Alexandria database: TmMg2OsO8 after structural relaxation (PBE).

Results
For the formation energy (no corrections), the calculation gives -1.890 eV per atom. The symmetry is Cmmm, No. 65. For the density of states at the Fermi level, the calculation gives 0.34 states/eV/atom.

abc: 4.735 4.735 6.463
angles: 90.00 90.00 92.20
Sites, in units of the cell vectors:
Tm1 0.000 0.000 0.000
Mg1 0.500 0.500 0.257
Mg2 0.500 0.500 0.743
Os1 0.000 0.000 0.500
O1 0.190 0.810 0.291
O2 0.190 0.810 0.709
O3 0.285 0.285 0.500
O4 0.321 0.321 0.000
O5 0.679 0.679 0.000
O6 0.715 0.715 0.500
O7 0.810 0.190 0.291
O8 0.810 0.190 0.709

---

Entry from the Alexandria database: HoScInAu after structural relaxation (PBE).

Results
Its formation energy is -0.593 eV/atom. The symmetry is F-43m, No. 216. The calculation puts the energy above the most stable polymorph in this dataset at 56 meV per atom. For the density of states at the Fermi level, the calculation gives 0.68 states/eV/atom.

abc: 5.072 5.072 5.072
angles: 60.00 60.00 60.00
Sites, in units of the cell vectors:
Ho1 0.000 0.000 0.000
Sc1 0.500 0.500 0.500
In1 0.750 0.750 0.750
Au1 0.250 0.250 0.250

---

Entry from the Alexandria database: HgRuPb2Cl after structural relaxation (PBE).

Results
For the formation energy (no corrections), the calculation gives 0.939 eV per atom. The symmetry is P4/mmm, No. 123. For the density of states at the Fermi level, the calculation gives 0.83 states/eV/atom.

abc: 5.786 5.786 5.179
angles: 90.00 90.00 90.00
Sites, in units of the cell vectors:
Hg1 0.000 0.000 0.000
Ru1 0.000 0.000 0.500
Pb1 0.000 0.500 0.000
Pb2 0.500 0.000 0.000
Cl1 0.500 0.500 0.500

---

Entry from the Alexandria database: BeNb3Pt after structural relaxation (PBE).

Results
Its formation energy is 1.382 eV/atom. The symmetry is Pm-3m, No. 221. The calculation puts the energy above the most stable polymorph in this dataset at 1079 meV per atom. For the density of states at the Fermi level, the calculation gives 1.65 states/eV/atom.

abc: 4.885 4.885 4.885
angles: 90.00 90.00 90.00
Sites, in units of the cell vectors:
Be1 0.000 0.000 0.000
Nb1 0.000 0.500 0.500
Nb2 0.500 0.000 0.500
Nb3 0.500 0.500 0.000
Pt1 0.500 0.500 0.500

---

Entry from the Alexandria database: TlRuF2 after structural relaxation (PBE).

Results
For the formation energy (no corrections), the calculation gives -0.570 eV per atom. The symmetry is R-3m, No. 166. The calculation puts the energy above the most stable polymorph in this dataset at 295 meV per atom. For the density of states at the Fermi level, the calculation gives 0.74 states/eV/atom.

abc: 7.510 7.510 7.510
angles: 26.85 26.85 26.85
Sites, in units of the cell vectors:
Tl1 0.000 0.000 0.000
Ru1 0.500 0.500 0.500
F1 0.128 0.128 0.128
F2 0.872 0.872 0.872

---

Entry from the Alexandria database: TiAlMoOs after structural relaxation (PBE).

Results
Its formation energy is -0.271 eV/atom. The symmetry is F-43m, No. 216. For the density of states at the Fermi level, the calculation gives 1.37 states/eV/atom.

abc: 4.381 4.381 4.381
angles: 60.00 60.00 60.00
Sites, in units of the cell vectors:
Ti1 0.000 0.000 0.000
Al1 0.500 0.500 0.500
Mo1 0.750 0.750 0.750
Os1 0.250 0.250 0.250

---

Entry from the Alexandria database: ScBe2Ag after structural relaxation (PBE).

Results
Its formation energy is 0.079 eV/atom. The symmetry is Pmmm, No. 47. The calculation puts the energy above the most stable polymorph in this dataset at 85 meV per atom. For the density of states at the Fermi level, the calculation gives 0.46 states/eV/atom.

abc: 2.996 3.035 6.299
angles: 90.00 90.00 90.00
Sites, in units of the cell vectors:
Sc1 0.000 0.000 0.000
Be1 0.500 0.500 0.290
Be2 0.500 0.500 0.710
Ag1 0.000 0.000 0.500

---

Entry from the Alexandria database: Sc2GaRhC after structural relaxation (PBE).

Results
Its formation energy is -0.560 eV/atom. The symmetry is P4/mmm, No. 123. For the density of states at the Fermi level, the calculation gives 0.59 states/eV/atom.

abc: 4.484 4.484 4.011
angles: 90.00 90.00 90.00
Sites, in units of the cell vectors:
Sc1 0.000 0.500 0.000
Sc2 0.500 0.000 0.000
Ga1 0.000 0.000 0.500
Rh1 0.500 0.500 0.500
C1 0.500 0.500 0.000

---

It is found that the electronic total energy values, taken in the order of the records, are -116.9, -39.7, -37.2, -68.6, -33.2, -405.6, -14.2, -59.6, -73.4, -211.2, -144.0, -81.2, -19.3, -14.1, -33.1, -17.7, -34.8, -16.3, -35.1 eV per cell.
It is found that the total moment values, taken in the order of the records, are 0.0, 0.0, 0.0, 16.0, 0.0, 24.4, 0.0, 0.0, 0.0, 0.0, 2.1, 0.6, 0.0, 2.1, 0.0, 0.5, 0.0, 0.0, 0.0 μB per cell.